A geometry-optimized CaTl5In6 structure, computed with PBE-GGA.

Structure (extended XYZ):
```
12
Lattice="5.849 -5.914 0.000 5.849 5.914 0.000 -2.129 0.000 4.978" Properties=species:S:1:pos:R:3 pbc="T T T"
Ca 0.000 0.000 0.000
Tl 4.784 3.889 2.489
Tl 5.849 1.981 0.000
Tl 4.784 0.000 2.489
Tl 5.849 -1.981 0.000
Tl 4.784 -3.889 2.489
In 2.418 1.970 1.258
In 1.291 0.000 3.715
In 2.418 -1.970 1.258
In 7.151 1.970 3.719
In 8.278 0.000 1.263
In 7.151 -1.970 3.719
```

Calculated values
ΔE_f, eV per atom: -0.049

***

A geometry-optimized AgPb2Br structure, computed with PBE-GGA.

Structure (extended XYZ):
```
8
Lattice="6.827 0.000 0.000 0.000 3.928 0.000 -2.250 0.000 8.681" Properties=species:S:1:pos:R:3 pbc="T T T"
Ag 0.000 0.000 0.000
Ag 3.413 1.964 0.000
Pb 1.140 1.964 1.955
Pb 0.023 0.000 6.726
Pb 4.554 0.000 1.955
Pb 3.437 1.964 6.726
Br -1.125 1.964 4.340
Br 2.288 0.000 4.340
```

Calculated values
E above lowest polymorph, eV per atom: 0.000
E_form (uncorrected), eV per atom: -0.135

***

| no. | N(E_F) (states/eV/cell) |
| --- | --- |
| 1 | 6.0 |
| 2 | 2.8 |